1.
DFT (meta-GGA SCAN) results for Sb3IrCl at its PBEsol-relaxed geometry.

Structure (extended XYZ):
```
5
Lattice="-4.946 0.617 0.548 -0.764 -2.170 -4.456 -0.311 -4.479 2.234" Properties=species:S:1:pos:R:3 pbc="T T T"
Sb -0.382 -1.085 -2.228
Sb -0.156 -2.239 1.117
Sb -2.473 0.308 0.274
Ir -3.011 -3.016 -0.837
Cl 0.000 0.000 0.000
```

Output
As for the space group: No. 221. The density of states at the Fermi level is 3.00 states/eV/cell. Its magnetic moment is 0.000 μB per atom. The total DFT energy (no corrections) is -182.84 eV per cell.

---

2.
DFT (meta-GGA SCAN) results for SbIrCl2 at its PBEsol-relaxed geometry.

Structure (extended XYZ):
```
4
Lattice="4.669 0.000 0.000 2.335 4.044 0.000 2.335 1.348 3.812" Properties=species:S:1:pos:R:3 pbc="T T T"
Sb 4.669 2.696 1.906
Ir 0.000 0.000 0.000
Cl 7.004 4.044 2.859
Cl 2.335 1.348 0.953
```

Output
As for the space group: No. 225. The density of states at the Fermi level is 3.50 states/eV/cell. Its magnetic moment is 0.002 μB per atom. The total DFT energy (no corrections) is -120.18 eV per cell. For the energy relative to the lowest polymorph listed for this composition, the calculation gives 864 meV/atom.

---

3.
DFT (meta-GGA SCAN) results for SbIr2Cl at its PBEsol-relaxed geometry.

Structure (extended XYZ):
```
4
Lattice="4.559 0.000 0.000 2.279 3.948 0.000 2.279 1.316 3.722" Properties=species:S:1:pos:R:3 pbc="T T T"
Sb 2.279 1.316 0.931
Ir 0.000 0.000 0.000
Ir 6.838 3.948 2.792
Cl 4.559 2.632 1.861
```

Output
As for the space group: No. 216. The density of states at the Fermi level is 0.41 states/eV/cell. Its magnetic moment is 0.000 μB per atom. The total DFT energy (no corrections) is -184.32 eV per cell. For the energy relative to the lowest polymorph listed for this composition, the calculation gives 179 meV/atom.

---

4.
DFT (meta-GGA SCAN) results for SbIr2Cl at its PBEsol-relaxed geometry.

Structure (extended XYZ):
```
4
Lattice="-0.692 -2.138 2.700 -0.325 -3.332 -2.723 4.218 -0.786 0.459" Properties=species:S:1:pos:R:3 pbc="T T T"
Sb 1.600 -3.128 0.218
Ir 2.109 -0.393 0.229
Ir -0.163 -1.666 -1.361
Cl -0.346 -1.069 1.350
```

Output
As for the space group: No. 123. The density of states at the Fermi level is 4.20 states/eV/cell. Its magnetic moment is 0.000 μB per atom. The total DFT energy (no corrections) is -183.55 eV per cell. For the energy relative to the lowest polymorph listed for this composition, the calculation gives 371 meV/atom.

---

5.
DFT (meta-GGA SCAN) results for Sb2IrCl at its PBEsol-relaxed geometry.

Structure (extended XYZ):
```
4
Lattice="4.720 0.000 0.000 2.360 4.139 0.213 2.360 1.254 3.950" Properties=species:S:1:pos:R:3 pbc="T T T"
Sb 4.720 4.046 3.124
Sb 4.720 1.347 1.040
Ir 2.360 2.697 2.082
Cl 2.360 0.000 0.000
```

Output
As for the space group: No. 139. The density of states at the Fermi level is 1.45 states/eV/cell. Its magnetic moment is 0.000 μB per atom. The total DFT energy (no corrections) is -152.76 eV per cell. For the energy relative to the lowest polymorph listed for this composition, the calculation gives 326 meV/atom.

---

6.
DFT (meta-GGA SCAN) results for SbIr2Cl at its PBEsol-relaxed geometry.

Structure (extended XYZ):
```
4
Lattice="-0.857 -0.930 -2.653 -2.343 -3.794 2.086 -2.200 4.895 0.624" Properties=species:S:1:pos:R:3 pbc="T T T"
Sb -1.600 -2.362 -0.284
Ir -1.100 2.448 0.312
Ir -2.700 0.085 0.028
Cl 0.000 0.000 0.000
```

Output
As for the space group: No. 12. The density of states at the Fermi level is 2.71 states/eV/cell. Its magnetic moment is 0.000 μB per atom. The total DFT energy (no corrections) is -184.23 eV per cell. For the energy relative to the lowest polymorph listed for this composition, the calculation gives 202 meV/atom.